(1)
The following is a PBE calculation of a relaxed Ce3Ho2PuAs6 crystal, from Alexandria.

The space group is C2/m (No. 12) and the conventional cell measures 7.224, 12.512 and 7.202 Å, with angles of 90.00, 109.53 and 90.00 degrees. The inequivalent atoms are Ce at (0.000, 0.000, 0.000), Ce at (0.000, 0.334, 0.000), Ho at (0.000, 0.167, 0.500), Pu at (0.000, 0.500, 0.500), As at (0.247, 0.000, 0.745) and As at (0.249, 0.333, 0.746).

The total DFT energy (no corrections) is -85.9 eV per formula unit. The value obtained for the formation energy is -1391 meV per atom.

(2)
The following is a PBE calculation of a relaxed CeHoAs2Rh5 crystal, from Alexandria.

The space group is P4/mmm (No. 123) and the conventional cell measures 4.002, 4.002 and 11.498 Å, with angles of 90.00, 90.00 and 90.00 degrees. The inequivalent atoms are Ce at (0.000, 0.000, 0.000), Ho at (0.500, 0.500, 0.500), As at (0.000, 0.000, 0.294), Rh at (0.000, 0.000, 0.500) and Rh at (0.000, 0.500, 0.175).

The total DFT energy (no corrections) is -60.5 eV per formula unit. The value obtained for the formation energy is -437 meV per atom.

(3)
The following is a PBE calculation of a relaxed Ce2HoAs3Rh4 crystal, from Alexandria.

The space group is P-4m2 (No. 115) and the conventional cell measures 4.100, 4.100 and 11.486 Å, with angles of 90.00, 90.00 and 90.00 degrees. The inequivalent atoms are Ce at (0.000, 0.500, 0.227), Ho at (0.000, 0.000, 0.500), As at (0.000, 0.500, 0.873), As at (0.500, 0.500, 0.500), Rh at (0.000, 0.000, 0.000), Rh at (0.000, 0.500, 0.661) and Rh at (0.500, 0.500, 0.000).

The total DFT energy (no corrections) is -69.4 eV per formula unit. The value obtained for the formation energy is -956 meV per atom.

(4)
The following is a PBE calculation of a relaxed CeHo2ScAs4 crystal, from Alexandria.

The space group is P2/m (No. 10) and the conventional cell measures 7.042, 4.083 and 7.066 Å, with angles of 90.00, 109.40 and 90.00 degrees. The inequivalent atoms are Ce at (0.000, 0.000, 0.000), Ho at (0.000, 0.500, 0.500), Ho at (0.500, 0.000, 0.500), Sc at (0.500, 0.500, 0.000), As at (0.258, 0.500, 0.249) and As at (0.260, 0.000, 0.758).

The total DFT energy (no corrections) is -51.6 eV per formula unit. The value obtained for the formation energy is -1443 meV per atom.

(5)
The following is a PBE calculation of a relaxed Ce3HoSc2As6 crystal, from Alexandria.

The space group is C2/m (No. 12) and the conventional cell measures 7.097, 12.293 and 7.050 Å, with angles of 90.00, 109.65 and 90.00 degrees. The inequivalent atoms are Ce at (0.000, 0.000, 0.000), Ce at (0.000, 0.335, 0.000), Ho at (0.000, 0.500, 0.500), Sc at (0.000, 0.167, 0.500), As at (0.237, 0.000, 0.734) and As at (0.249, 0.330, 0.736).

The total DFT energy (no corrections) is -79.9 eV per formula unit. The value obtained for the formation energy is -1409 meV per atom.

(6)
The following is a PBE calculation of a relaxed Ce2HoScAs4 crystal, from Alexandria.

The space group is P2/m (No. 10) and the conventional cell measures 7.086, 4.115 and 7.125 Å, with angles of 90.00, 109.58 and 90.00 degrees. The inequivalent atoms are Ce at (0.000, 0.000, 0.000), Ce at (0.000, 0.500, 0.500), Ho at (0.500, 0.000, 0.500), Sc at (0.500, 0.500, 0.000), As at (0.260, 0.500, 0.247) and As at (0.265, 0.000, 0.761).

The total DFT energy (no corrections) is -52.8 eV per formula unit. The value obtained for the formation energy is -1423 meV per atom.